Compound: KBa2NbIr
Source: the Alexandria database
Functional: GGA-PBE
Structure: optimized geometry

Results
crystal system	tetragonal
E	-3.10	eV per atom
formation enthalpy at 0 K	1.675	eV/atom
total magnetization	4.69	μB per formula unit

POSCAR file:
```
KBa2NbIr
1.0
6.1798 0.0000 0.0000
0.0000 6.1798 0.0000
0.0000 0.0000 4.9570
K Ba Nb Ir
1 2 1 1
Cartesian
0.0000 0.0000 0.0000 K
0.0000 3.0899 0.0000 Ba
3.0899 0.0000 0.0000 Ba
3.0899 3.0899 2.4785 Nb
0.0000 0.0000 2.4785 Ir
```

Compound: KBa2IrO5
Source: the Alexandria database
Functional: GGA-PBE
Structure: optimized geometry

Results
crystal system	orthorhombic
E	-6.01	eV per atom
total magnetization	0.77	μB per formula unit
formation energy (no corrections)	-1720	meV per atom

POSCAR file:
```
KBa2IrO5
1.0
-1.9664 3.2422 6.1229
1.9664 -3.2422 6.1229
1.9664 3.2422 -6.1229
K Ba Ir O
1 2 1 5
Cartesian
0.0000 0.0000 0.0000 K
1.9664 0.0000 3.3922 Ba
0.0000 3.2422 2.7307 Ba
0.0000 0.0000 6.1229 Ir
1.9664 1.8462 -1.4799 O
1.9664 1.8462 1.4799 O
0.0000 3.2422 0.0000 O
0.0000 1.3960 4.6430 O
0.0000 1.3960 7.6028 O
```